meta-GGA SCAN Cd3TcH, single point on PBEsol structure; total moment = 0.69 μB per atom; space group = Pm-3m (221); DOS at the Fermi energy = 2.0 states/eV/f.u.; total DFT energy (no corrections) = -24.73 eV per atom
1.0
5.2429 0.0000 0.0000
0.0000 5.2429 0.0000
0.0000 0.0000 5.2429
H Cd Tc
1 3 1
direct
0.5000 0.5000 0.5000 H
0.0000 0.5000 0.0000 Cd
0.0000 0.0000 0.5000 Cd
0.5000 0.0000 0.0000 Cd
0.0000 0.0000 0.0000 Tc

meta-GGA SCAN Ca2Al3Si3O13, single point on PBEsol structure; energy relative to the elements, uncorrected = -306.1 kJ/mol of atoms; distance to the lowest polymorph of the same formula = 0.000 eV/atom; total moment = 0.05 μB per atom; space group = Pnma (62); DOS at the Fermi energy = 1.1 states/eV/f.u.
1.0
-4.4894 -3.2415 -1.4059
0.0856 -4.3105 9.6648
-9.6106 11.1222 5.0455
O Si Al Ca
52 12 12 8
direct
0.7500 0.4279 0.7817 O
0.2500 0.3288 0.4995 O
0.2500 0.3957 0.7909 O
0.4842 0.7690 0.1434 O
0.5174 0.9457 0.4073 O
0.0182 0.3957 0.6445 O
0.0158 0.7310 0.6434 O
0.2500 0.5721 0.2183 O
0.4818 0.1043 0.1445 O
0.7500 0.2134 0.7043 O
0.2500 0.7134 0.7957 O
0.0174 0.0543 0.5927 O
0.4842 0.7310 0.6434 O
0.7500 0.2001 0.4971 O
0.9826 0.9457 0.4073 O
0.2500 0.1712 0.9995 O
0.7500 0.8957 0.7091 O
0.5174 0.5543 0.9073 O
0.5182 0.8957 0.8555 O
0.2500 0.7866 0.2957 O
0.9826 0.5543 0.9073 O
0.5158 0.2690 0.3566 O
0.7500 0.2866 0.2043 O
0.7500 0.0612 0.9503 O
0.7500 0.4388 0.4503 O
0.7500 0.6816 0.7838 O
0.2500 0.3184 0.2162 O
0.0182 0.1043 0.1445 O
0.7500 0.6712 0.5005 O
0.4818 0.3957 0.6445 O
0.9842 0.2690 0.3566 O
0.9818 0.6043 0.3555 O
0.0158 0.7690 0.1434 O
0.7500 0.8288 0.0005 O
0.2500 0.1816 0.7162 O
0.4826 0.0543 0.5927 O
0.7500 0.0721 0.2817 O
0.5182 0.6043 0.3555 O
0.2500 0.7001 0.0029 O
0.9842 0.2310 0.8566 O
0.2500 0.1043 0.2909 O
0.2500 0.5612 0.5497 O
0.2500 0.7999 0.5029 O
0.9818 0.8957 0.8555 O
0.5158 0.2310 0.8566 O
0.4826 0.4457 0.0927 O
0.7500 0.2999 0.9971 O
0.0174 0.4457 0.0927 O
0.2500 0.9279 0.7183 O
0.7500 0.6043 0.2091 O
0.7500 0.8184 0.2838 O
0.2500 0.9388 0.0497 O
0.7500 0.5529 0.8444 Si
0.2500 0.7077 0.5845 Si
0.7500 0.9130 0.9151 Si
0.7500 0.9471 0.3444 Si
0.7500 0.2077 0.9155 Si
0.2500 0.0529 0.6556 Si
0.7500 0.5870 0.4151 Si
0.2500 0.4130 0.5849 Si
0.2500 0.4471 0.1556 Si
0.2500 0.0870 0.0849 Si
0.7500 0.2923 0.4155 Si
0.2500 0.7923 0.0845 Si
0.7500 0.1451 0.6025 Al
0.2500 0.8549 0.3975 Al
0.2500 0.6451 0.8975 Al
0.9971 0.3068 0.7472 Al
0.4971 0.8068 0.7528 Al
0.0029 0.6932 0.2528 Al
0.9971 0.1932 0.2472 Al
0.7500 0.3549 0.1025 Al
0.5029 0.3068 0.7472 Al
0.5029 0.1932 0.2472 Al
0.0029 0.8068 0.7528 Al
0.4971 0.6932 0.2528 Al
0.2500 0.4410 0.3689 Ca
0.7500 0.8657 0.5503 Ca
0.2500 0.3657 0.9497 Ca
0.2500 0.1343 0.4497 Ca
0.7500 0.5590 0.6311 Ca
0.7500 0.9410 0.1311 Ca
0.2500 0.0590 0.8689 Ca
0.7500 0.6343 0.0503 Ca

meta-GGA SCAN TlFeSi2, single point on PBEsol structure; energy relative to the elements, uncorrected = 55.7 kJ/mol of atoms; distance to the lowest polymorph of the same formula = 0.070 eV/atom; total moment = 0.46 μB per atom; space group = Immm (71); DOS at the Fermi energy = 2.0 states/eV/f.u.
1.0
-1.4831 -0.1937 -2.2388
-2.2712 -3.5836 1.8146
-1.6434 5.1575 2.2614
Fe Tl Si
1 1 2
direct
0.5000 0.0000 0.0000 Fe
0.0000 0.5000 0.0000 Tl
0.1916 0.1916 0.3831 Si
0.8084 0.8084 0.6169 Si

meta-GGA SCAN ZrIn2Au, single point on PBEsol structure; distance to the lowest polymorph of the same formula = 0.245 eV/atom; total moment = 0.00 μB per atom; space group = I4/mmm (139); DOS at the Fermi energy = 4.2 states/eV/f.u.
1.0
-0.9774 2.2576 -3.3582
-3.5226 1.2254 1.8491
4.5427 2.0301 2.6227
In Au Zr
2 1 1
direct
0.2500 0.7500 0.5000 In
0.7500 0.2500 0.5000 In
0.0000 0.0000 0.0000 Au
0.5000 0.5000 0.0000 Zr

meta-GGA SCAN BaFeRu, single point on PBEsol structure; distance to the lowest polymorph of the same formula = 0.000 eV/atom; total moment = 1.06 μB per atom; space group = I4mm (107); DOS at the Fermi energy = 2.3 states/eV/f.u.
1.0
-2.4522 -0.2357 2.2203
-1.5333 -2.2196 -1.9290
4.7920 -3.0026 2.4968
Fe Ba Ru
1 1 1
direct
0.7217 0.7217 0.4435 Fe
0.9991 0.9991 0.9982 Ba
0.2792 0.2792 0.5583 Ru

meta-GGA SCAN SrMg2In, single point on PBEsol structure; total moment = 0.00 μB per atom; space group = C2/m (12); DOS at the Fermi energy = 1.9 states/eV/f.u.; total DFT energy (no corrections) = -16.56 eV per atom
1.0
4.1151 0.0000 0.0000
0.0000 5.3224 -0.6889
-2.0575 -2.0208 5.4342
Mg Sr In
2 1 1
direct
0.7254 0.7260 0.4507 Mg
0.2746 0.2740 0.5493 Mg
0.5000 0.0000 0.0000 Sr
0.0000 0.5000 0.0000 In

meta-GGA SCAN Ga2MoRhAu, single point on PBEsol structure; total moment = 0.87 μB per atom; space group = P4/mmm (123); DOS at the Fermi energy = 2.2 states/eV/f.u.; total DFT energy (no corrections) = -33.45 eV per atom
1.0
4.5062 0.0000 0.0000
0.0000 4.5062 0.0000
0.0000 0.0000 5.0671
Au Rh Ga Mo
1 1 2 1
direct
0.0000 0.0000 0.5000 Au
0.0000 0.0000 0.0000 Rh
0.5000 0.0000 0.0000 Ga
0.0000 0.5000 0.0000 Ga
0.5000 0.5000 0.5000 Mo

meta-GGA SCAN Li4Fe5SbO12, single point on PBEsol structure; energy relative to the elements, uncorrected = -167.8 kJ/mol of atoms; total moment = 0.23 μB per atom; space group = C2/m (12); DOS at the Fermi energy = 7.8 states/eV/f.u.
1.0
4.9007 0.0000 -0.5900
2.4504 4.2767 -0.2950
-0.4744 0.0000 9.7332
O Fe Li Sb
12 5 4 1
direct
0.2103 0.0000 0.6065 O
0.6871 0.3495 0.1100 O
0.8668 0.6574 0.6016 O
0.3857 0.0000 0.1100 O
0.0367 0.6505 0.1100 O
0.7897 0.0000 0.3935 O
0.4758 0.6574 0.3984 O
0.1332 0.3426 0.3984 O
0.6143 0.0000 0.8900 O
0.9633 0.3495 0.8900 O
0.5242 0.3426 0.6016 O
0.3129 0.6505 0.8900 O
0.1612 0.6777 0.5000 Fe
0.3334 0.3333 0.0000 Fe
0.8388 0.3223 0.5000 Fe
0.5000 0.0000 0.5000 Fe
0.6666 0.6667 0.0000 Fe
0.4187 0.3348 0.2638 Li
0.5813 0.6652 0.7362 Li
0.7535 0.6652 0.2638 Li
0.2465 0.3348 0.7362 Li
0.0000 0.0000 0.0000 Sb

meta-GGA SCAN LiScAu, single point on PBEsol structure; distance to the lowest polymorph of the same formula = 0.000 eV/atom; total moment = 0.00 μB per atom; space group = I4mm (107); DOS at the Fermi energy = 1.2 states/eV/f.u.
1.0
3.4653 0.0000 0.0000
0.0000 3.4653 0.0000
-1.7326 -1.7326 4.3459
Au Sc Li
1 1 1
direct
0.9988 0.9988 0.9976 Au
0.6571 0.6571 0.3142 Sc
0.3441 0.3441 0.6883 Li

meta-GGA SCAN KBe2P, single point on PBEsol structure; total moment = 0.00 μB per atom; space group = F-43m (216); DOS at the Fermi energy = 0.7 states/eV/f.u.; total DFT energy (no corrections) = -5.87 eV per atom
1.0
4.5376 0.0000 0.0000
2.2688 3.9297 0.0000
2.2688 1.3099 3.7050
Be K P
2 1 1
direct
0.2500 0.2500 0.2500 Be
0.0000 0.0000 0.0000 Be
0.5000 0.5000 0.5000 K
0.7500 0.7500 0.7500 P

meta-GGA SCAN MnCdCu2, single point on PBEsol structure; total moment = 0.97 μB per atom; space group = C2/m (12); DOS at the Fermi energy = 1.6 states/eV/f.u.; total DFT energy (no corrections) = -19.70 eV per atom
1.0
-0.9431 2.4521 -0.7106
-3.0824 -1.9220 2.6707
2.7802 2.0558 3.4045
Cd Cu Mn
1 2 1
direct
0.5000 0.0000 0.0000 Cd
0.7449 0.4898 0.7200 Cu
0.2551 0.5102 0.2800 Cu
0.0000 0.0000 0.5000 Mn

meta-GGA SCAN NbTlGeRh2, single point on PBEsol structure; total moment = 0.00 μB per atom; space group = P4/mmm (123); DOS at the Fermi energy = 4.0 states/eV/f.u.; total DFT energy (no corrections) = -37.55 eV per atom
1.0
-2.3237 -2.7113 -3.0699
-1.1902 -2.9302 3.4889
-4.1585 2.6500 0.8071
Rh Nb Ge Tl
2 1 1 1
direct
0.5000 0.0000 0.0000 Rh
0.0000 0.5000 0.0000 Rh
0.0000 0.0000 0.0000 Nb
0.0000 0.0000 0.5000 Ge
0.5000 0.5000 0.5000 Tl

meta-GGA SCAN RbAl2Sn2, single point on PBEsol structure; total moment = 0.00 μB per atom; space group = I4/mmm (139); DOS at the Fermi energy = 1.5 states/eV/f.u.; total DFT energy (no corrections) = -21.71 eV per atom
1.0
4.9038 0.0000 0.0000
0.0000 4.9038 0.0000
-2.4519 -2.4519 5.6989
Sn Rb Al
2 1 2
direct
0.6293 0.6293 0.2586 Sn
0.3707 0.3707 0.7414 Sn
0.0000 0.0000 0.0000 Rb
0.7500 0.2500 0.5000 Al
0.2500 0.7500 0.5000 Al

meta-GGA SCAN LiCu2, single point on PBEsol structure; total moment = 0.00 μB per atom; space group = Cm (8); DOS at the Fermi energy = 1.0 states/eV/f.u.; total DFT energy (no corrections) = -10.94 eV per atom
1.0
2.5142 0.0000 0.0000
-1.2571 4.7309 0.0023
0.0000 -1.6890 5.8925
Cu Li
4 2
direct
0.6667 0.3333 0.3363 Cu
0.3289 0.6577 0.6694 Cu
0.6077 0.2155 0.7202 Cu
0.0065 0.0130 0.9980 Cu
0.9472 0.8944 0.3962 Li
0.2764 0.5528 0.0466 Li

meta-GGA SCAN Y3In, single point on PBEsol structure; total moment = 0.13 μB per atom; space group = Pm-3n (223); DOS at the Fermi energy = 3.5 states/eV/f.u.; total DFT energy (no corrections) = -29.57 eV per atom
1.0
6.0367 0.0000 0.0000
0.0000 6.0367 0.0000
0.0000 0.0000 6.0367
Y In
6 2
direct
0.5000 0.0000 0.2500 Y
0.0000 0.2500 0.5000 Y
0.5000 0.0000 0.7500 Y
0.0000 0.7500 0.5000 Y
0.7500 0.5000 0.0000 Y
0.2500 0.5000 0.0000 Y
0.0000 0.0000 0.0000 In
0.5000 0.5000 0.5000 In

meta-GGA SCAN Li3Mn4O8, single point on PBEsol structure; energy relative to the elements, uncorrected = -212.3 kJ/mol of atoms; distance to the lowest polymorph of the same formula = 0.000 eV/atom; total moment = 0.82 μB per atom; space group = R-3m (166); DOS at the Fermi energy = 5.5 states/eV/f.u.
1.0
-1.9455 5.2301 0.6896
-2.6484 1.4102 4.7552
2.8459 3.5734 3.8495
O Li Mn
8 3 4
direct
0.7513 0.2771 0.2203 O
0.2771 0.7513 0.2203 O
0.7229 0.2487 0.7797 O
0.2671 0.2671 0.1986 O
0.2487 0.7229 0.7797 O
0.7513 0.7513 0.2203 O
0.7329 0.7329 0.8014 O
0.2487 0.2487 0.7797 O
0.8559 0.8559 0.4322 Li
0.0000 0.0000 0.0000 Li
0.1441 0.1441 0.5678 Li
0.0000 0.5000 0.0000 Mn
0.5000 0.5000 0.5000 Mn
0.5000 0.0000 0.0000 Mn
0.5000 0.5000 0.0000 Mn

meta-GGA SCAN Ti3AlSb, single point on PBEsol structure; energy relative to the elements, uncorrected = 76.1 kJ/mol of atoms; total moment = 0.00 μB per atom; space group = Pm-3m (221); DOS at the Fermi energy = 6.4 states/eV/f.u.
1.0
-1.1653 3.7725 2.9032
-3.5181 -2.6960 2.0911
3.2068 -1.5868 3.3492
Al Ti Sb
1 3 1
direct
0.5000 0.5000 0.5000 Al
0.0000 0.5000 0.0000 Ti
0.5000 0.0000 0.0000 Ti
0.0000 0.0000 0.5000 Ti
0.0000 0.0000 0.0000 Sb

meta-GGA SCAN Li2ZrO, single point on PBEsol structure; energy relative to the elements, uncorrected = -56.6 kJ/mol of atoms; total moment = 0.87 μB per atom; space group = Fd-3m (227); DOS at the Fermi energy = 1.3 states/eV/f.u.
1.0
-3.9519 -1.2453 -3.8410
0.6925 -4.4362 -3.4295
-3.2172 -4.5993 0.6459
Li O Zr
4 2 2
direct
0.1250 0.6250 0.1250 Li
0.1250 0.1250 0.1250 Li
0.6250 0.1250 0.1250 Li
0.1250 0.1250 0.6250 Li
0.0000 0.0000 0.0000 O
0.2500 0.2500 0.2500 O
0.5000 0.5000 0.5000 Zr
0.7500 0.7500 0.7500 Zr

meta-GGA SCAN BeC2, single point on PBEsol structure; total moment = 0.00 μB per atom; space group = P-3m1 (164); DOS at the Fermi energy = 0.2 states/eV/f.u.; total DFT energy (no corrections) = -7.50 eV per atom
1.0
2.4637 0.0000 0.0000
-1.2318 2.1336 0.0000
0.0000 0.0000 3.6634
C Be
2 1
direct
0.3333 0.6667 0.4264 C
0.6667 0.3333 0.5736 C
0.0000 0.0000 0.0000 Be

meta-GGA SCAN MgZr2Au, single point on PBEsol structure; total moment = 0.00 μB per atom; space group = Cmmm (65); DOS at the Fermi energy = 3.2 states/eV/f.u.; total DFT energy (no corrections) = -34.21 eV per atom
1.0
3.2222 0.0000 0.0000
0.0000 5.1584 0.0079
0.0000 -1.9579 4.7724
Zr Mg Au
2 1 1
direct
0.0000 0.0000 0.5000 Zr
0.0000 0.5000 0.0000 Zr
0.5000 0.5000 0.5000 Mg
0.5000 0.0000 0.0000 Au

meta-GGA SCAN RbAlFe3, single point on PBEsol structure; distance to the lowest polymorph of the same formula = 0.000 eV/atom; total moment = 1.83 μB per atom; space group = Pm-3m (221); DOS at the Fermi energy = 3.3 states/eV/f.u.
1.0
-2.6488 3.8571 0.3602
-3.3428 -2.4962 2.1489
1.9578 0.9563 4.1564
Rb Al Fe
1 1 3
direct
0.5000 0.5000 0.5000 Rb
0.0000 0.0000 0.0000 Al
0.0000 0.0000 0.5000 Fe
0.5000 0.0000 0.0000 Fe
0.0000 0.5000 0.0000 Fe

meta-GGA SCAN Li5Cu2Ni5O12, single point on PBEsol structure; energy relative to the elements, uncorrected = -141.5 kJ/mol of atoms; total moment = 0.13 μB per atom; space group = C2 (5); DOS at the Fermi energy = 3.0 states/eV/f.u.
1.0
4.9650 -0.0424 -0.0320
-2.3212 4.3892 -0.0320
-0.6853 -1.1267 9.3178
O Ni Li Cu
12 5 5 2
direct
0.9493 0.7360 0.6143 O
0.4257 0.2830 0.1065 O
0.1637 0.6799 0.1323 O
0.3201 0.8363 0.8677 O
0.7170 0.5743 0.8935 O
0.8365 0.3358 0.3646 O
0.2640 0.0507 0.3857 O
0.0542 0.2546 0.8866 O
0.7454 0.9458 0.1134 O
0.3136 0.4568 0.6148 O
0.6642 0.1635 0.6354 O
0.5432 0.6864 0.3852 O
0.5944 0.4056 0.5000 Ni
0.5071 0.0026 0.2526 Ni
0.4066 0.5934 0.0000 Ni
0.0749 0.9251 0.0000 Ni
0.9974 0.4929 0.7474 Ni
0.1797 0.3486 0.2606 Li
0.3361 0.1657 0.7425 Li
0.8343 0.6639 0.2575 Li
0.9196 0.0804 0.5000 Li
0.6514 0.8203 0.7394 Li
0.2613 0.7387 0.5000 Cu
0.7401 0.2599 0.0000 Cu